No. 1
The following is a DFT calculation (meta-GGA SCAN) of a PBEsol-optimized structure of CaLa2Bi2.

abc: 4.437 8.607 8.607
angles: 90.00 90.00 90.00
Positions (direct):
Ca 0.000 0.000 0.000
Ca 0.000 0.500 0.500
Bi 0.000 0.349 0.849
Bi 0.000 0.849 0.651
Bi 0.000 0.651 0.151
Bi 0.000 0.151 0.349
La 0.500 0.153 0.653
La 0.500 0.653 0.847
La 0.500 0.847 0.347
La 0.500 0.347 0.153

Its space-group type is P4/mbm (127).

No. 2
The following is a DFT calculation (meta-GGA SCAN) of a PBEsol-optimized structure of KTl2Sb.

abc: 3.265 6.284 6.732
angles: 116.30 101.37 95.59
Positions (direct):
K 0.000 0.500 0.000
Sb 0.500 0.000 0.000
Tl 0.500 0.500 0.500
Tl 0.000 0.000 0.500

Its space-group type is C2/m (12). As for the uncorrected formation energy: -0.11 eV/atom.

No. 3
The following is a DFT calculation (meta-GGA SCAN) of a PBEsol-optimized structure of K2LaTe.

abc: 3.763 3.763 13.035
angles: 81.70 81.70 60.00
Each line ends with the local moment (μB).
Positions (direct):
K 0.266 0.266 0.203  0.00
K 0.734 0.734 0.797  0.00
La 0.500 0.500 0.500  0.06
Te 0.000 0.000 0.000  0.17

Its space-group type is R-3m (166). As for the uncorrected formation energy: -0.11 eV/atom.

Number 1: total moment 0.000 μB per atom, final energy -51.64 eV per atom. Number 2: total moment 0.000 μB per atom, final energy -47.69 eV per atom. Number 3: total moment 0.095 μB per atom, final energy -24.37 eV per atom.